Density functional theory data (GGA-PBEsol) for Ta2AlCo after structural relaxation.

Cell and atoms, written as CIF:
```
data_Ta2AlCo
_chemical_formula_sum 'Ta6 Al3 Co3'
_cell_length_a 2.8381
_cell_length_b 2.8381
_cell_length_c 26.4425
_cell_angle_alpha 90.00
_cell_angle_beta 90.00
_cell_angle_gamma 120.00
_space_group_name_H-M_alt 'R 3 m'
_space_group_IT_number 160
_space_group_name_Hall 'R 3 -2"'
loop_
_atom_site_label
_atom_site_type_symbol
_atom_site_fract_x
_atom_site_fract_y
_atom_site_fract_z
Ta1 Ta 0.0000 0.0000 0.0000
Ta2 Ta 0.0000 0.0000 0.2377
Al1 Al 0.0000 0.0000 0.7570
Co1 Co 0.0000 0.0000 0.4949
```

Values from the calculation:
E_form: 5.81 kJ per mole of atoms
total moment: 1.68 μB/cell

***

Density functional theory data (GGA-PBEsol) for Ta2AlCo after structural relaxation.

Cell and atoms, written as CIF:
```
data_Ta2AlCo
_chemical_formula_sum 'Ta6 Al3 Co3'
_cell_length_a 2.8390
_cell_length_b 2.8390
_cell_length_c 26.5120
_cell_angle_alpha 90.00
_cell_angle_beta 90.00
_cell_angle_gamma 120.00
_space_group_name_H-M_alt 'R -3 m'
_space_group_IT_number 166
_space_group_name_Hall '-R 3 2"'
loop_
_atom_site_label
_atom_site_type_symbol
_atom_site_fract_x
_atom_site_fract_y
_atom_site_fract_z
Ta1 Ta 0.0000 0.0000 0.2441
Al1 Al 0.0000 0.0000 0.0000
Co1 Co 0.0000 0.0000 0.5000
```

Values from the calculation:
E_form: 7.38 kJ per mole of atoms
total moment: 2.03 μB/cell

***

Density functional theory data (GGA-PBEsol) for Tb2Al3Co after structural relaxation.

Cell and atoms, written as CIF:
```
data_Tb2Al3Co
_chemical_formula_sum 'Tb6 Al9 Co3'
_cell_length_a 5.4227
_cell_length_b 5.4227
_cell_length_c 12.8641
_cell_angle_alpha 90.00
_cell_angle_beta 90.00
_cell_angle_gamma 120.00
_space_group_name_H-M_alt 'R -3 m'
_space_group_IT_number 166
_space_group_name_Hall '-R 3 2"'
loop_
_atom_site_label
_atom_site_type_symbol
_atom_site_fract_x
_atom_site_fract_y
_atom_site_fract_z
Tb1 Tb 0.0000 0.0000 0.1258
Al1 Al 0.0000 0.5000 0.0000
Co1 Co 0.0000 0.0000 0.5000
```

Values from the calculation:
E_form: -43.01 kJ per mole of atoms
total moment: 0.00 μB/cell